1.
VASP calculation (GGA-PBE) on crystalline MnVSb6 at its relaxed geometry.

Symmetry: C2/m (12)
E in eV per cell: -42.01

Cell: 6.8627 6.8627 6.3046 Å, 94.31 94.31 135.92°
Closest atoms and distances in Å follow each position.
Positions (direct):
Mn (0.0000, 0.0000, 0.0000)  6 Sb 2.74-2.77
V (0.0000, 0.0000, 0.5000)  6 Sb 2.70-2.77
Sb (0.0804, 0.7329, 0.7390)  1 Mn 2.74, 1 V 2.77
Sb (0.2671, 0.9196, 0.2610)  1 Mn 2.74, 1 V 2.77
Sb (0.4897, 0.4897, 0.7534)  1 V 2.70, 1 Mn 2.77
Sb (0.5103, 0.5103, 0.2466)  1 V 2.70, 1 Mn 2.77
Sb (0.7329, 0.0804, 0.7390)  1 Mn 2.74, 1 V 2.77
Sb (0.9196, 0.2671, 0.2610)  1 Mn 2.74, 1 V 2.77

2.
VASP calculation (GGA-PBE) on crystalline BeAs2Ru at its relaxed geometry.

Symmetry: R-3m (166)
Calculated formation energy in meV/atom: 108

Cell: 7.2302 7.2302 7.2302 Å, 24.78 24.78 24.78°
Closest atoms and distances in Å follow each position.
Positions (direct):
Be (0.0000, 0.0000, 0.0000)  6 As 2.44
As (0.2544, 0.2544, 0.2544)  3 Be 2.44, 3 Ru 2.57
As (0.7456, 0.7456, 0.7456)  3 Be 2.44, 3 Ru 2.57
Ru (0.5000, 0.5000, 0.5000)  6 As 2.57

3.
VASP calculation (GGA-PBE) on crystalline LiAc2H6Pd2 at its relaxed geometry.

Symmetry: R-3m (166)
E in eV per cell: -45.65

Cell: 6.4073 6.4073 6.4073 Å, 51.19 51.19 51.19°
Closest atoms and distances in Å follow each position.
Positions (direct):
Li (0.0000, 0.0000, 0.0000)  6 H 2.08
Ac (0.2341, 0.2341, 0.2341)  9 H 2.78-2.79, 1 Pd 2.95
Ac (0.7659, 0.7659, 0.7659)  9 H 2.78-2.79, 1 Pd 2.95
H (0.2092, 0.7597, 0.7597)  1 Pd 1.77
H (0.2403, 0.2403, 0.7908)  1 Pd 1.77
H (0.2403, 0.7908, 0.2403)  1 Pd 1.77
H (0.7597, 0.2092, 0.7597)  1 Pd 1.77
H (0.7597, 0.7597, 0.2092)  1 Pd 1.77
H (0.7908, 0.2403, 0.2403)  1 Pd 1.77
Pd (0.4115, 0.4115, 0.4115)  3 H 1.77
Pd (0.5885, 0.5885, 0.5885)  3 H 1.77

4.
VASP calculation (GGA-PBE) on crystalline La2SmTl2Zn2 at its relaxed geometry.

Symmetry: R-3m (166)
Calculated formation energy in meV/atom: -221

Cell: 9.8516 9.8516 9.8516 Å, 27.76 27.76 27.76°
Closest atoms and distances in Å follow each position.
Positions (direct):
La (0.1380, 0.1380, 0.1380)  3 Zn 3.15, 3 La 3.18, 3 Tl 3.46
La (0.8620, 0.8620, 0.8620)  3 Zn 3.15, 3 La 3.18, 3 Tl 3.46
Sm (0.0000, 0.0000, 0.0000)  6 Tl 3.26, 6 Zn 3.60
Tl (0.2702, 0.2702, 0.2702)  3 Zn 2.78
Tl (0.7298, 0.7298, 0.7298)  3 Zn 2.78
Zn (0.4158, 0.4158, 0.4158)  3 Tl 2.78
Zn (0.5842, 0.5842, 0.5842)  3 Tl 2.78

5.
VASP calculation (GGA-PBE) on crystalline LiP2Os at its relaxed geometry.

Symmetry: Pmmm (47)
Relative energy among the computed polymorphs in meV/atom: 55
Calculated formation energy in meV/atom: -187

Cell: 3.0871 3.9036 4.7831 Å, 90.00 90.00 90.00°
Closest atoms and distances in Å follow each position.
Positions (direct):
Li (0.0000, 0.0000, 0.0000)  8 P 2.72, 4 Os 2.85
P (0.5000, 0.5000, 0.2279)  1 P 2.18, 2 Os 2.35
P (0.5000, 0.5000, 0.7721)  1 P 2.18, 2 Os 2.35
Os (0.5000, 0.0000, 0.5000)  4 P 2.35